The following is a PBE calculation of a relaxed PuNp2CrN5 crystal, from the Alexandria database.

Uncorrected energy   -397.67 eV for the cell shown

Lattice parameters (Å, degrees): 3.2995 13.5403 9.9514 90.00 90.00 90.00
Closest atoms and distances in Å follow each position.
Space group Cmc2_1 (No. 36)
Inequivalent atoms, fractional coordinates:
Pu  0.0000  0.2069  0.0000  6 N 2.23-2.33
Np  0.0000  0.1004  0.6822  8 N 2.38-2.53
Np  0.0000  0.1417  0.2975  4 N 2.34-2.38
Cr  0.0000  0.4799  0.4588  4 N 1.88-1.98
N  0.0000  0.0467  0.0517  2 Cr 1.92
N  0.0000  0.2771  0.6644  2 Pu 2.33, 3 Np 2.38-2.40
N  0.0000  0.3401  0.3572  1 Cr 2.15, 2 Pu 2.27
N  0.0000  0.3783  0.0064  1 Cr 1.98
N  0.0000  0.4800  0.7784  1 Cr 1.88

The following is a PBE calculation of a relaxed CoI3 crystal, from the Alexandria database.

Uncorrected energy   -22.50 eV for the cell shown

Lattice parameters (Å, degrees): 3.5116 12.2178 7.4402 90.00 90.00 90.00
Closest atoms and distances in Å follow each position.
Space group Imm2 (No. 44)
Inequivalent atoms, fractional coordinates:
Co  0.0000  0.0000  0.0000  6 I 2.71-2.72
I  0.0000  0.3530  0.6391  2 Co 2.72
I  0.0000  0.5000  0.2222  2 Co 2.71

The following is a PBE calculation of a relaxed CuSbI2N crystal, from the Alexandria database.

ΔE to the lowest computed polymorph   19.05 kcal/mol of atoms

Lattice parameters (Å, degrees): 5.2400 5.2400 5.0853 90.00 90.00 90.00
Closest atoms and distances in Å follow each position.
Space group P4/mmm (No. 123)
Inequivalent atoms, fractional coordinates:
Cu  0.0000  0.0000  0.0000  2 Sb 2.54, 4 I 2.62
Sb  0.0000  0.0000  0.5000  2 Cu 2.54
I  0.0000  0.5000  0.0000  2 Cu 2.62
N  0.5000  0.5000  0.5000  8 I 3.65, 4 Sb 3.71

The following is a PBE calculation of a relaxed Ce2AgRu crystal, from the Alexandria database.

Uncorrected energy   -24.87 eV for the cell shown

Lattice parameters (Å, degrees): 3.3598 3.3598 8.0958 90.00 90.00 90.00
Closest atoms and distances in Å follow each position.
Space group P4/mmm (No. 123)
Inequivalent atoms, fractional coordinates:
Ce  0.0000  0.0000  0.2185  4 Ru 2.96, 4 Ag 3.29
Ag  0.5000  0.5000  0.5000  8 Ce 3.29, 4 Ag 3.36
Ru  0.5000  0.5000  0.0000  8 Ce 2.96

The following is a PBE calculation of a relaxed DyTmTcNi crystal, from the Alexandria database.

Uncorrected energy   -103.37 eV for the cell shown

Lattice parameters (Å, degrees): 6.7473 6.7473 6.7473 90.00 90.00 90.00
Closest atoms and distances in Å follow each position.
Space group F-43m (No. 216)
Inequivalent atoms, fractional coordinates:
Dy  0.0000  0.0000  0.0000  4 Tc 2.92, 4 Ni 2.92
Tm  0.0000  0.0000  0.5000  4 Tc 2.92, 4 Ni 2.92
Tc  0.2500  0.2500  0.7500  4 Dy 2.92, 4 Tm 2.92
Ni  0.2500  0.2500  0.2500  4 Dy 2.92, 4 Tm 2.92

The following is a PBE calculation of a relaxed Pu2Mn12Si7 crystal, from the Alexandria database.

Uncorrected energy   -183.45 eV for the cell shown

Lattice parameters (Å, degrees): 9.8158 9.8158 3.4770 90.00 90.00 120.00
Closest atoms and distances in Å follow each position.
Space group P-6 (No. 174)
Inequivalent atoms, fractional coordinates:
Pu  0.0000  0.0000  0.0000  6 Si 2.91, 6 Mn 3.07
Pu  0.3333  0.6667  0.5000  6 Si 2.93, 6 Mn 3.03
Mn  0.0426  0.2763  0.5000  4 Si 2.38-2.46, 2 Mn 2.60
Mn  0.1086  0.7161  0.0000  4 Si 2.36-2.44
Mn  0.3908  0.1793  0.0000  4 Si 2.34-2.43, 2 Mn 2.60
Mn  0.5442  0.4287  0.5000  5 Si 2.54-2.55, 4 Mn 2.76-2.77
Si  0.0725  0.4555  0.0000  7 Mn 2.38-2.54
Si  0.2538  0.2174  0.5000  7 Mn 2.34-2.55
Si  0.6667  0.3333  0.0000  9 Mn 2.35-2.54

The following is a PBE calculation of a relaxed RbGaRu2O8 crystal, from the Alexandria database.

Uncorrected energy   -149.86 eV for the cell shown

Lattice parameters (Å, degrees): 8.7152 5.7461 8.3556 90.00 96.10 90.00
Closest atoms and distances in Å follow each position.
Space group C2/m (No. 12)
Inequivalent atoms, fractional coordinates:
Rb  0.0000  0.0000  0.0000  6 O 2.99-3.04
Ga  0.0000  0.0000  0.5000  6 O 1.98-2.01
Ru  0.1197  0.5000  0.3027  4 O 1.75-1.82
O  0.0063  0.2391  0.3250  1 Ru 1.82, 1 Ga 2.01
O  0.1856  0.5000  0.1118  1 Ru 1.75
O  0.2281  0.0000  0.5327  1 Ru 1.81, 1 Ga 1.98

The following is a PBE calculation of a relaxed CsLiHoI5 crystal, from the Alexandria database.

Uncorrected energy   -104.44 eV for the cell shown

Lattice parameters (Å, degrees): 10.3585 13.9368 11.5335 90.00 112.99 90.00
Closest atoms and distances in Å follow each position.
Space group C2/c (No. 15)
Inequivalent atoms, fractional coordinates:
Cs  0.0000  0.1549  0.2500  7 I 3.85-4.26
Li  0.0000  0.1931  0.7500  4 I 2.79-2.86
Ho  0.0000  0.5000  0.0000  6 I 3.03-3.04
I  0.0000  0.4313  0.2500  2 Ho 3.04
I  0.1005  0.3007  0.5990  1 Li 2.79, 1 Ho 3.03
I  0.2011  0.0688  0.9265  1 Li 2.86, 1 Ho 3.03

The following is a PBE calculation of a relaxed La3Nd3Sc crystal, from the Alexandria database.

ΔE to the lowest computed polymorph   0.00 kcal/mol of atoms

Lattice parameters (Å, degrees): 9.7683 9.7683 5.8643 90.00 90.00 120.00
Closest atoms and distances in Å follow each position.
Space group P6_3/m (No. 176)
Inequivalent atoms, fractional coordinates:
La  0.0530  0.8065  0.2500  5 Nd 3.60-3.78, 1 Sc 3.62, 6 La 3.66-3.80
Nd  0.0975  0.6136  0.7500  4 Nd 3.60-3.62, 5 La 3.60-3.78, 3 Sc 3.60-3.70
Sc  0.3333  0.6667  0.2500  9 Nd 3.60-3.70, 3 La 3.62

The following is a PBE calculation of a relaxed Na3YTl12 crystal, from the Alexandria database.

Uncorrected energy   -40.34 eV for the cell shown

Lattice parameters (Å, degrees): 4.8623 4.8623 19.2525 90.00 90.00 90.00
Closest atoms and distances in Å follow each position.
Space group P4/mmm (No. 123)
Inequivalent atoms, fractional coordinates:
Na  0.0000  0.0000  0.0000  12 Tl 3.42-3.44
Na  0.0000  0.0000  0.2547  12 Tl 3.39-3.49
Y  0.0000  0.0000  0.5000  12 Tl 3.39-3.44
Tl  0.0000  0.5000  0.1248  8 Tl 3.42-3.44, 4 Na 3.42-3.49
Tl  0.0000  0.5000  0.3774  8 Tl 3.39-3.44, 2 Y 3.39, 2 Na 3.39
Tl  0.5000  0.5000  0.0000  8 Tl 3.42, 4 Na 3.44
Tl  0.5000  0.5000  0.2511  8 Tl 3.44, 4 Na 3.44
Tl  0.5000  0.5000  0.5000  8 Tl 3.39, 4 Y 3.44

The following is a PBE calculation of a relaxed Li4SnGe2 crystal, from the Alexandria database.

ΔE to the lowest computed polymorph   0.00 kcal/mol of atoms

Lattice parameters (Å, degrees): 9.3049 3.1741 9.0966 90.00 98.85 90.00
Closest atoms and distances in Å follow each position.
Space group C2/m (No. 12)
Inequivalent atoms, fractional coordinates:
Li  0.0689  0.0000  0.2837  1 Li 2.72, 4 Ge 2.73-2.92, 2 Sn 3.01
Li  0.2055  0.0000  0.8716  1 Ge 2.64, 3 Li 2.72-2.84, 3 Sn 2.81-2.87
Sn  0.0000  0.5000  0.0000  10 Li 2.81-3.01
Ge  0.1832  0.0000  0.5783  2 Ge 2.58, 3 Li 2.64-2.83

The following is a PBE calculation of a relaxed Cd4RhAu crystal, from the Alexandria database.

ΔE to the lowest computed polymorph   0.00 kcal/mol of atoms

Lattice parameters (Å, degrees): 6.6219 6.6219 11.7293 90.00 90.00 90.00
Closest atoms and distances in Å follow each position.
Space group I4/mcm (No. 140)
Inequivalent atoms, fractional coordinates:
Cd  0.1839  0.3161  0.1327  2 Rh 2.79, 2 Au 2.88, 2 Cd 3.02-3.11
Rh  0.0000  0.0000  0.2500  8 Cd 2.79, 2 Au 2.93
Au  0.0000  0.0000  0.0000  8 Cd 2.88, 2 Rh 2.93